# LiNdPtAu | Alexandria | PBE-GGA | optimized geometry
data_LiNdPtAu
_chemical_formula_sum 'Li1 Nd1 Pt1 Au1'
_space_group_name_H-M_alt 'P 1'
_space_group_IT_number 1
_space_group_name_Hall 'P 1'
_cell_length_a 4.907
_cell_length_b 4.907
_cell_length_c 4.907
_cell_angle_alpha 60.00
_cell_angle_beta 60.00
_cell_angle_gamma 60.00
loop_
_atom_site_label
_atom_site_fract_x
_atom_site_fract_y
_atom_site_fract_z
Nd1 0.000 0.000 0.000
Au1 0.250 0.250 0.250
Pt1 0.750 0.750 0.750
Li1 0.500 0.500 0.500
# E above lowest polymorph = 77.0 meV per atom
# Space group = F-43m
# Calculated total energy = -4.716 eV/atom
# Mass density = 10.79 Mg/m³